The following is a DFT calculation (GGA-PBE) of a geometry-optimized Ti2GaSb structure.

a = 4.0171 Å, b = 4.2161 Å, c = 4.2161 Å
α = 90.00°, β = 90.00°, γ = 90.00°
Fractional coordinates of all 4 atoms:
Sb 0.5000 0.0000 0.0000
Ga 0.5000 0.5000 0.5000
Ti 0.0000 0.0000 0.5000
Ti 0.0000 0.5000 0.0000

Values from the calculation:
E in eV/atom: -6.037
Formation energy (no corrections) in eV/atom: -0.30
Total magnetic moment in μB per atom: 0.0000


The following is a DFT calculation (GGA-PBE) of a geometry-optimized Ti2GaSb structure.

a = 4.6791 Å, b = 4.6791 Å, c = 4.6791 Å
α = 60.00°, β = 60.00°, γ = 60.00°
Fractional coordinates of all 4 atoms:
Sb 0.5000 0.5000 0.5000
Ga 0.0000 0.0000 0.0000
Ti 0.2500 0.2500 0.2500
Ti 0.7500 0.7500 0.7500

Values from the calculation:
E in eV/atom: -5.905
Formation energy (no corrections) in eV/atom: -0.17
Total magnetic moment in μB per atom: 0.0000